No. 1
This record from the Alexandria database describes crystalline Pm2Ho3Er6Pb at its relaxed geometry. The functional is PBE.

Properties
* theoretical density: 9.05 g/cm3
* ΔH_f (0 K): -63 meV per atom
* symmetry: C2/m, No. 12

```
Pm2Ho3Er6Pb
1.0
6.064 -0.002 0.013
-3.033 5.252 0.013
-1.040 -1.802 11.490
Ho Pm Pb Er
3 2 1 6
Direct
0.167 0.833 0.500
0.833 0.167 0.500
0.500 0.500 0.500
0.666 0.334 0.000
0.334 0.666 0.000
0.000 0.000 0.000
0.756 0.756 0.252
0.411 0.083 0.251
0.917 0.589 0.749
0.589 0.917 0.749
0.083 0.411 0.251
0.244 0.244 0.748
```

No. 2
This record from the Alexandria database describes crystalline NaNdSmCd at its relaxed geometry. The functional is PBE.

Properties
* theoretical density: 6.00 g/cm3
* ΔH_f (0 K): 9 meV per atom
* symmetry: F-43m, No. 216

```
NaNdSmCd
1.0
-1.232 -0.239 -5.378
0.709 -4.713 -2.788
-4.388 -2.888 -1.702
Cd Sm Nd Na
1 1 1 1
Direct
0.750 0.750 0.750
0.500 0.500 0.500
0.000 0.000 0.000
0.250 0.250 0.250
```

No. 3
This record from the Alexandria database describes crystalline LiTc at its relaxed geometry. The functional is PBE.

Properties
* theoretical density: 5.69 g/cm3
* ΔH_f (0 K): 184 meV per atom
* symmetry: Cmme, No. 67

```
LiTc
1.0
-0.572 -1.955 1.703
-0.707 -0.564 -2.497
8.481 -3.821 -1.537
Tc Li
2 2
Direct
0.500 0.500 0.261
0.000 0.000 0.489
0.000 0.000 0.017
0.500 0.500 0.733
```

No. 4
This record from the Alexandria database describes crystalline GePSCl2 at its relaxed geometry. The functional is PBE.

Properties
* formation energy (no corrections): 0.21 eV per atom
* theoretical density: 3.20 g/cm3
* symmetry: P4/mmm, No. 123

```
GePSCl2
1.0
4.700 0.000 0.000
0.000 4.700 0.000
0.000 0.000 4.847
Ge Cl S P
1 2 1 1
Direct
0.500 0.500 0.500
0.000 0.500 0.000
0.500 0.000 0.000
0.000 0.000 0.500
0.000 0.000 0.000
```

No. 5
This record from the Alexandria database describes crystalline ZrFeTc at its relaxed geometry. The functional is PBE.

Properties
* theoretical density: 7.82 g/cm3
* ΔH_f (0 K): 305 meV per atom
* symmetry: F-43m, No. 216

```
ZrFeTc
1.0
4.191 0.000 0.000
2.095 3.629 0.000
2.095 1.210 3.422
Tc Fe Zr
1 1 1
Direct
0.000 0.000 0.000
0.750 0.750 0.750
0.500 0.500 0.500
```

No. 6
This record from the Alexandria database describes crystalline Pm2TmAg6 at its relaxed geometry. The functional is PBE.

Properties
* theoretical density: 8.98 g/cm3
* ΔH_f (0 K): -223 meV per atom
* symmetry: C2/m, No. 12

```
Pm2TmAg6
1.0
-3.735 -3.278 2.063
6.005 -7.213 -0.723
-0.272 5.292 7.780
Ag Pm Tm
12 4 2
Direct
0.501 0.331 0.506
0.755 0.409 0.910
0.001 0.831 0.005
0.501 0.005 0.831
0.245 0.591 0.090
0.255 0.910 0.409
0.999 0.494 0.669
0.499 0.995 0.169
0.499 0.669 0.494
0.999 0.169 0.995
0.001 0.506 0.331
0.745 0.090 0.591
0.000 0.164 0.336
0.500 0.664 0.836
0.500 0.336 0.164
0.000 0.836 0.664
0.750 0.750 0.250
0.250 0.250 0.750
```

It is found that the E values, taken in the order of the records, are -4.590; -2.922; -5.956; -3.356; -8.821; -3.677 eV/atom.